DFT (PBE-GGA) results for Ca2ScTa after structural relaxation.

Properties
- volume (Å³/cell) = 107.42
- energy of formation (eV per atom) = 0.656
- energy above the most stable polymorph in this dataset (eV/f.u.) = 1.183
- symmetry = F-43m (216)

Geometry as extended XYZ:
```
4
Lattice="-3.4365 -3.3443 2.3435 3.0130 -4.1486 -1.4821 2.1549 4.0069 2.7905" Properties=species:S:1:pos:R:3 pbc="T T T"
Sc -0.2118 -3.7465 0.4307
Ca 0.0000 0.0000 0.0000
Ca 2.4781 -1.9441 0.8695
Ta -0.7467 -1.5419 2.7823
```